(1)
BeZnCrCo: optimized geometry, PBE-GGA.

## Properties
The space-group type is F-43m. The density of states at the Fermi level is 3.3 states/eV/cell. The formation energy from the elements is 0.07 eV per atom.

The structure in POSCAR format:
```
BeZnCrCo
1.0
-3.307 1.490 -1.581
-3.269 -2.219 -0.205
-3.101 0.827 2.314
Cr Zn Co Be
1 1 1 1
direct
0.250 0.250 0.250
0.750 0.750 0.750
0.500 0.500 0.500
0.000 0.000 0.000
```

---

(2)
CsBeCo3: optimized geometry, PBE-GGA.

## Properties
The space-group type is Pm-3m. The excess energy over the best structure of this formula in the dataset is 0.0 kJ/mol of atoms. The density of states at the Fermi level is 14.5 states/eV/cell. The formation energy from the elements is 1.21 eV per atom.

The structure in POSCAR format:
```
CsBeCo3
1.0
4.287 0.000 0.000
0.000 4.287 0.000
0.000 0.000 4.287
Cs Be Co
1 1 3
direct
0.500 0.500 0.500
0.000 0.000 0.000
0.000 0.500 0.000
0.000 0.000 0.500
0.500 0.000 0.000
```

---

(3)
CsBe2Co: optimized geometry, PBE-GGA.

## Properties
The space-group type is Fm-3m. The density of states at the Fermi level is 19.6 states/eV/cell. The formation energy from the elements is 1.82 eV per atom.

The structure in POSCAR format:
```
CsBe2Co
1.0
3.372 -1.959 2.954
0.580 1.733 4.538
-1.382 -2.694 3.842
Cs Be Co
1 2 1
direct
0.500 0.500 0.500
0.250 0.250 0.250
0.750 0.750 0.750
0.000 0.000 0.000
```

---

(4)
CsBeCo3: optimized geometry, PBE-GGA.

## Properties
The space-group type is Pm-3m. The excess energy over the best structure of this formula in the dataset is 150.6 kJ/mol of atoms. The density of states at the Fermi level is 5.7 states/eV/cell. The formation energy from the elements is 2.77 eV per atom.

The structure in POSCAR format:
```
CsBeCo3
1.0
4.712 0.000 0.000
0.000 4.712 0.000
0.000 0.000 4.712
Cs Be Co
1 1 3
direct
0.000 0.000 0.000
0.500 0.500 0.500
0.000 0.500 0.000
0.000 0.000 0.500
0.500 0.000 0.000
```

---

(5)
CsBeCoH6: optimized geometry, PBE-GGA.

## Properties
The space-group type is P312.

The structure in POSCAR format:
```
CsBeCoH6
1.0
4.184 0.000 0.000
2.092 3.624 0.000
0.000 0.000 6.338
Cs Be Co H
1 1 1 6
direct
0.000 0.000 0.000
0.667 0.667 0.500
0.333 0.333 0.500
0.019 0.362 0.360
0.362 0.019 0.640
0.619 0.362 0.640
0.019 0.619 0.640
0.362 0.619 0.360
0.619 0.019 0.360
```

---

(6)
Cs2LiBeCo: optimized geometry, PBE-GGA.

## Properties
The space-group type is P4/mmm. The density of states at the Fermi level is 3.5 states/eV/cell. The formation energy from the elements is 0.84 eV per atom.

The structure in POSCAR format:
```
Cs2LiBeCo
1.0
7.136 0.000 0.000
0.000 4.221 0.000
0.000 0.000 7.136
Cs Be Co Li
2 1 1 1
direct
0.000 0.000 0.500
0.500 0.000 0.000
0.000 0.000 0.000
0.000 0.500 0.000
0.500 0.500 0.500
```

---

(7)
Cs2BeCoRh: optimized geometry, PBE-GGA.

## Properties
The space-group type is P4/mmm. The density of states at the Fermi level is 6.5 states/eV/cell. The formation energy from the elements is 1.27 eV per atom.

The structure in POSCAR format:
```
Cs2BeCoRh
1.0
-4.371 -4.882 1.429
0.370 -1.557 -4.188
5.057 -3.965 1.921
Cs Co Rh Be
2 1 1 1
direct
0.000 0.000 0.500
0.500 0.000 0.000
0.000 0.000 0.000
0.000 0.500 0.000
0.500 0.500 0.500
```

---

(8)
Cs2ScBeCo: optimized geometry, PBE-GGA.

## Properties
The space-group type is P4/mmm. The density of states at the Fermi level is 8.4 states/eV/cell. The formation energy from the elements is 1.28 eV per atom.

The structure in POSCAR format:
```
Cs2ScBeCo
1.0
7.171 0.000 0.000
0.000 4.331 0.000
0.000 0.000 7.171
Cs Sc Co Be
2 1 1 1
direct
0.000 0.000 0.500
0.500 0.000 0.000
0.000 0.000 0.000
0.000 0.500 0.000
0.500 0.500 0.500
```

---

(9)
CsBe2CoW: optimized geometry, PBE-GGA.

## Properties
The space-group type is P4/mmm. The density of states at the Fermi level is 8.5 states/eV/cell. The formation energy from the elements is 3.48 eV per atom.

The structure in POSCAR format:
```
CsBe2CoW
1.0
-2.769 3.033 -1.890
-2.946 -3.856 -1.871
-2.492 0.074 3.771
Cs Be Co W
1 2 1 1
direct
0.000 0.000 0.000
0.000 0.000 0.500
0.500 0.000 0.000
0.500 0.500 0.500
0.000 0.500 0.000
```

---

(10)
Be3CoCu: optimized geometry, PBE-GGA.

## Properties
The space-group type is Pm-3m. The excess energy over the best structure of this formula in the dataset is 19.9 kJ/mol of atoms. The density of states at the Fermi level is 5.0 states/eV/cell. The formation energy from the elements is 0.80 eV per atom.

The structure in POSCAR format:
```
Be3CoCu
1.0
-2.749 -1.687 2.181
2.727 -2.117 1.801
0.406 2.799 2.676
Be Co Cu
3 1 1
direct
0.000 0.500 0.000
0.000 0.000 0.500
0.500 0.000 0.000
0.500 0.500 0.500
0.000 0.000 0.000
```

---

(11)
BeCo3Cu: optimized geometry, PBE-GGA.

## Properties
The space-group type is Pm-3m. The excess energy over the best structure of this formula in the dataset is 88.5 kJ/mol of atoms. The density of states at the Fermi level is 15.0 states/eV/cell. The formation energy from the elements is 1.50 eV per atom.

The structure in POSCAR format:
```
BeCo3Cu
1.0
-3.012 -3.005 0.166
2.960 -3.000 -0.602
0.542 -0.310 4.211
Be Co Cu
1 3 1
direct
0.500 0.500 0.500
0.000 0.500 0.000
0.000 0.000 0.500
0.500 0.000 0.000
0.000 0.000 0.000
```

---

(12)
Be5CoCu4: optimized geometry, PBE-GGA.

## Properties
The space-group type is P4/mmm. The density of states at the Fermi level is 2.6 states/eV/cell. The formation energy from the elements is -0.16 eV per atom.

The structure in POSCAR format:
```
Be5CoCu4
1.0
2.690 0.000 0.000
0.000 2.690 0.000
0.000 0.000 13.187
Be Co Cu
5 1 4
direct
0.500 0.500 0.089
0.500 0.500 0.301
0.500 0.500 0.500
0.500 0.500 0.699
0.500 0.500 0.911
0.000 0.000 0.000
0.000 0.000 0.197
0.000 0.000 0.398
0.000 0.000 0.602
0.000 0.000 0.803
```

---

(13)
Be6Co5Cu: optimized geometry, PBE-GGA.

## Properties
The space-group type is Cmmm. The density of states at the Fermi level is 11.4 states/eV/cell. The formation energy from the elements is -0.30 eV per atom.

The structure in POSCAR format:
```
Be6Co5Cu
1.0
-1.110 -2.942 1.904
1.168 -3.075 -4.071
4.560 -2.129 2.917
Be Co Cu
6 5 1
direct
0.829 0.745 0.343
0.829 0.255 0.343
0.500 0.261 0.000
0.500 0.739 0.000
0.171 0.745 0.657
0.171 0.255 0.657
0.665 0.500 0.670
0.336 0.000 0.329
0.000 0.500 0.000
0.664 0.000 0.671
0.335 0.500 0.330
0.000 0.000 0.000
```

---

no.,E_tot (Ry per atom)
1,-0.394
2,-0.292
3,-0.149
4,-0.177
5,-0.269
6,-0.151
7,-0.199
8,-0.184
9,-0.161
10,-0.270
11,-0.318
12,-0.322
13,-0.401